Entry 1:
The following is a PBE-GGA calculation of a relaxed SnPtS3 crystal, from Alexandria via LeMat-Bulk.

Calculated values
space-group type	Pm-3m (221)

Cell: 4.757 4.757 4.757 Å, 90.00 90.00 90.00°
Fractional positions:
S  0.000  0.500  0.000
S  0.000  0.000  0.500
S  0.500  0.000  0.000
Sn  0.500  0.500  0.500
Pt  0.000  0.000  0.000

Entry 2:
The following is a PBE-GGA calculation of a relaxed SnPtS crystal, from Alexandria via LeMat-Bulk.

Calculated values
space-group type	Pmmm (47)

Cell: 6.062 6.062 3.971 Å, 90.00 90.00 80.98°
Fractional positions:
Sn  0.500  0.500  0.000
Sn  0.000  0.000  0.000
Pt  0.750  0.250  0.500
Pt  0.250  0.750  0.500
S  0.000  0.500  0.500
S  0.500  0.000  0.500

Computed values of N(E_F) (unit: states/eV/cell) for the preceding records, in sequence: 7.41 2.93.
Computed values of total energy (unit: eV/atom) for the preceding records, in sequence: -4.269 -4.760.